No. 1
Compound: RbAgI2O
Source: Alexandria via LeMat-Bulk
Functional: PBE-GGA
Structure: relaxed

* formation energy from raw total energies: -190.1 kJ/mol of formula units
* distance to the lowest polymorph of the same formula: 0 meV per atom
* VASP energy: -2.77 eV per atom
* calculated volume: 153.6 Å³/cell

Cell and atoms, written as CIF:
```
data_RbAgI2O
_space_group_name_H-M_alt 'P 4/m m m'
_space_group_IT_number 123
_space_group_name_Hall '-P 4 2'
_cell_length_a 6.044
_cell_length_b 6.044
_cell_length_c 4.206
_cell_angle_alpha 90.00
_cell_angle_beta 90.00
_cell_angle_gamma 90.00
loop_
_atom_site_label
_atom_site_fract_x
_atom_site_fract_y
_atom_site_fract_z
_atom_site_occupancy
Rb1 0.000 0.000 0.000 1
Ag1 0.500 0.500 0.500 1
I1 0.000 0.500 0.500 1
O1 0.500 0.500 0.000 1
```

No. 2
Compound: NaAcHoSe3
Source: Alexandria via LeMat-Bulk
Functional: PBE-GGA
Structure: relaxed

* formation energy from raw total energies: -908.3 kJ/mol of formula units
* VASP energy: -4.98 eV per atom
* calculated volume: 324.6 Å³/cell

Cell and atoms, written as CIF:
```
data_NaAcHoSe3
_space_group_name_H-M_alt 'P 1 21/m 1'
_space_group_IT_number 11
_space_group_name_Hall '-P 2yb'
_cell_length_a 8.388
_cell_length_b 4.285
_cell_length_c 9.442
_cell_angle_alpha 90.00
_cell_angle_beta 106.93
_cell_angle_gamma 90.00
loop_
_atom_site_label
_atom_site_fract_x
_atom_site_fract_y
_atom_site_fract_z
_atom_site_occupancy
Na1 0.099 0.250 0.087 1
Ac1 0.213 0.250 0.736 1
Ho1 0.327 0.750 0.349 1
Se1 0.096 0.250 0.377 1
Se2 0.263 0.750 0.008 1
Se3 0.450 0.750 0.664 1
```

No. 3
Compound: ZnCo6Ir
Source: Alexandria via LeMat-Bulk
Functional: PBE-GGA
Structure: relaxed

* DFT formation energy: 0.04 eV per atom
* VASP energy: -6.55 eV per atom
* calculated volume: 751.6 Å³/cell

Cell and atoms, written as CIF:
```
data_ZnCo6Ir
_space_group_name_H-M_alt 'C m m m'
_space_group_IT_number 65
_space_group_name_Hall '-C 2 2'
_cell_length_a 7.195
_cell_length_b 10.221
_cell_length_c 10.219
_cell_angle_alpha 90.00
_cell_angle_beta 90.00
_cell_angle_gamma 90.00
loop_
_atom_site_label
_atom_site_fract_x
_atom_site_fract_y
_atom_site_fract_z
_atom_site_occupancy
Zn1 0.000 0.000 0.249 1
Zn2 0.000 0.251 0.000 1
Co1 0.000 0.000 0.000 1
Co2 0.000 0.000 0.500 1
Co3 0.000 0.250 0.250 1
Co4 0.000 0.500 0.000 1
Co5 0.000 0.500 0.500 1
Co6 0.249 0.126 0.124 1
Co7 0.250 0.125 0.375 1
Ir1 0.000 0.249 0.500 1
Ir2 0.000 0.500 0.246 1
```

No. 4
Compound: Rb2SeBr
Source: Alexandria via LeMat-Bulk
Functional: PBE-GGA
Structure: relaxed

* formation energy from raw total energies: -389.0 kJ/mol of formula units
* distance to the lowest polymorph of the same formula: 116 meV per atom
* VASP energy: -2.78 eV per atom
* calculated volume: 758.9 Å³/cell

Cell and atoms, written as CIF:
```
data_Rb2SeBr
_space_group_name_H-M_alt 'I -4 2 d'
_space_group_IT_number 122
_space_group_name_Hall 'I -4 2bw'
_cell_length_a 9.094
_cell_length_b 9.094
_cell_length_c 9.177
_cell_angle_alpha 90.00
_cell_angle_beta 90.00
_cell_angle_gamma 90.00
loop_
_atom_site_label
_atom_site_fract_x
_atom_site_fract_y
_atom_site_fract_z
_atom_site_occupancy
Rb1 0.244 0.250 0.125 1
Se1 0.000 0.000 0.500 1
Br1 0.000 0.000 0.000 1
```

No. 5
Compound: YEr4Zn5
Source: Alexandria via LeMat-Bulk
Functional: PBE-GGA
Structure: relaxed

* DFT formation energy: -0.35 eV per atom
* VASP energy: -3.46 eV per atom
* calculated volume: 223.1 Å³/cell

Cell and atoms, written as CIF:
```
data_YEr4Zn5
_space_group_name_H-M_alt 'P 4/m m m'
_space_group_IT_number 123
_space_group_name_Hall '-P 4 2'
_cell_length_a 3.546
_cell_length_b 3.546
_cell_length_c 17.743
_cell_angle_alpha 90.00
_cell_angle_beta 90.00
_cell_angle_gamma 90.00
loop_
_atom_site_label
_atom_site_fract_x
_atom_site_fract_y
_atom_site_fract_z
_atom_site_occupancy
Y1 0.000 0.000 0.000 1
Er1 0.000 0.000 0.202 1
Er2 0.000 0.000 0.401 1
Zn1 0.500 0.500 0.103 1
Zn2 0.500 0.500 0.301 1
Zn3 0.500 0.500 0.500 1
```

No. 6
Compound: Mn2HgCl
Source: Alexandria via LeMat-Bulk
Functional: PBE-GGA
Structure: relaxed

* formation energy from raw total energies: 126.9 kJ/mol of formula units
* distance to the lowest polymorph of the same formula: 264 meV per atom
* VASP energy: -4.79 eV per atom
* calculated volume: 78.5 Å³/cell

Cell and atoms, written as CIF:
```
data_Mn2HgCl
_space_group_name_H-M_alt 'P m m m'
_space_group_IT_number 47
_space_group_name_Hall '-P 2 2'
_cell_length_a 3.123
_cell_length_b 4.484
_cell_length_c 5.609
_cell_angle_alpha 90.00
_cell_angle_beta 90.00
_cell_angle_gamma 90.00
loop_
_atom_site_label
_atom_site_fract_x
_atom_site_fract_y
_atom_site_fract_z
_atom_site_occupancy
Mn1 0.000 0.000 0.000 1
Mn2 0.500 0.000 0.500 1
Hg1 0.000 0.500 0.500 1
Cl1 0.500 0.500 0.000 1
```

No. 7
Compound: Tb2CrCd
Source: Alexandria via LeMat-Bulk
Functional: PBE-GGA
Structure: relaxed

* DFT formation energy: 0.02 eV per atom
* VASP energy: -4.93 eV per atom
* calculated volume: 99.1 Å³/cell

Cell and atoms, written as CIF:
```
data_Tb2CrCd
_space_group_name_H-M_alt 'P 4/m m m'
_space_group_IT_number 123
_space_group_name_Hall '-P 4 2'
_cell_length_a 3.592
_cell_length_b 3.592
_cell_length_c 7.682
_cell_angle_alpha 90.00
_cell_angle_beta 90.00
_cell_angle_gamma 90.00
loop_
_atom_site_label
_atom_site_fract_x
_atom_site_fract_y
_atom_site_fract_z
_atom_site_occupancy
Tb1 0.000 0.000 0.227 1
Cr1 0.500 0.500 0.000 1
Cd1 0.500 0.500 0.500 1
```

No. 8
Compound: KSmTeBr2
Source: Alexandria via LeMat-Bulk
Functional: PBE-GGA
Structure: relaxed

* formation energy from raw total energies: -798.7 kJ/mol of formula units
* VASP energy: -4.12 eV per atom
* calculated volume: 741.5 Å³/cell

Cell and atoms, written as CIF:
```
data_KSmTeBr2
_space_group_name_H-M_alt 'C m c m'
_space_group_IT_number 63
_space_group_name_Hall '-C 2c 2'
_cell_length_a 4.524
_cell_length_b 18.524
_cell_length_c 8.849
_cell_angle_alpha 90.00
_cell_angle_beta 90.00
_cell_angle_gamma 90.00
loop_
_atom_site_label
_atom_site_fract_x
_atom_site_fract_y
_atom_site_fract_z
_atom_site_occupancy
K1 0.000 0.207 0.250 1
Sm1 0.000 0.500 0.000 1
Te1 0.000 0.001 0.250 1
Br1 0.000 0.346 0.002 1
```